(1)
The following is a PBE calculation of an optimized crystal structure of NaZnAs2Se, from Alexandria via LeMat-Bulk.

Cell and atoms, written as POSCAR:
```
NaZnAs2Se
1.0
4.846 0.000 0.000
0.000 4.846 0.000
0.000 0.000 5.310
Na Zn As Se
1 1 2 1
Cartesian
0.000 0.000 0.000
2.423 2.423 2.655
0.000 2.423 2.655
2.423 0.000 2.655
2.423 2.423 0.000
```

Values from the calculation:
Space group   No. 123
N(E_F)   3.797 states/eV per cell
Uncorrected formation energy   1.15 eV/f.u.
Relative energy among the computed polymorphs   0.0 meV/atom
V   124.7 Å³/cell
Magnetization   0.00 μB/atom

=====

(2)
The following is a PBE calculation of an optimized crystal structure of TcSbTe, from Alexandria via LeMat-Bulk.

Cell and atoms, written as POSCAR:
```
TcSbTe
1.0
6.493 0.000 0.000
0.000 6.493 0.000
0.000 0.000 6.493
Tc Sb Te
4 4 4
Cartesian
0.000 0.000 0.000
0.000 3.246 3.246
3.246 0.000 3.246
3.246 3.246 0.000
1.623 1.623 1.623
1.623 4.869 4.869
4.869 1.623 4.869
4.869 4.869 1.623
1.623 1.623 4.869
1.623 4.869 1.623
4.869 1.623 1.623
4.869 4.869 4.869
```

Values from the calculation:
Space group   No. 216
N(E_F)   8.350 states/eV per cell
Uncorrected formation energy   0.38 eV/f.u.
Relative energy among the computed polymorphs   301.4 meV/atom
V   273.7 Å³/cell
Magnetization   0.00 μB/atom

=====

(3)
The following is a PBE calculation of an optimized crystal structure of PuSnAu2, from Alexandria via LeMat-Bulk.

Cell and atoms, written as POSCAR:
```
PuSnAu2
1.0
7.104 0.000 0.000
0.000 7.104 0.000
0.000 0.000 7.104
Pu Sn Au
4 4 8
Cartesian
0.000 0.000 0.000
0.000 3.552 3.552
3.552 0.000 3.552
3.552 3.552 0.000
0.000 0.000 3.552
0.000 3.552 0.000
3.552 0.000 0.000
3.552 3.552 3.552
1.776 1.776 1.776
1.776 1.776 5.328
1.776 5.328 1.776
1.776 5.328 5.328
5.328 1.776 1.776
5.328 1.776 5.328
5.328 5.328 1.776
5.328 5.328 5.328
```

Values from the calculation:
Formation enthalpy at 0 K   -0.4201 eV/atom
Space group   No. 225
N(E_F)   59.069 states/eV per cell
V   358.5 Å³/cell
Magnetization   1.35 μB/atom

=====

(4)
The following is a PBE calculation of an optimized crystal structure of NbAs2O8, from Alexandria via LeMat-Bulk.

Cell and atoms, written as POSCAR:
```
NbAs2O8
1.0
5.540 0.000 0.000
-2.770 4.797 0.000
0.000 0.000 6.766
Nb As O
1 2 8
Cartesian
0.000 0.000 0.000
0.000 3.198 4.965
2.770 1.599 1.801
0.000 1.609 5.607
-1.377 3.993 5.607
0.000 3.198 3.270
1.393 0.804 1.159
1.377 3.993 5.607
2.770 1.599 3.496
4.146 0.804 1.159
2.770 3.189 1.159
```

Values from the calculation:
Space group   No. 164
N(E_F)   5.669 states/eV per cell
Uncorrected formation energy   -15.05 eV/f.u.
V   179.8 Å³/cell
Magnetization   0.09 μB/atom

=====

(5)
The following is a PBE calculation of an optimized crystal structure of Tm2Se2O, from Alexandria via LeMat-Bulk.

Cell and atoms, written as POSCAR:
```
Tm2Se2O
1.0
6.219 -2.828 0.000
6.219 2.828 0.000
-4.013 0.000 6.741
Tm Se O
4 4 2
Cartesian
-0.913 0.000 2.153
0.288 0.000 5.951
8.137 0.000 0.790
9.338 0.000 4.588
1.806 0.000 0.686
2.818 0.000 4.834
5.607 0.000 1.907
6.618 0.000 6.055
-0.987 0.000 4.278
9.412 0.000 2.463
```

Values from the calculation:
Space group   No. 12
N(E_F)   0.000 states/eV per cell
Uncorrected formation energy   -12.30 eV/f.u.
Relative energy among the computed polymorphs   0.0 meV/atom
V   237.1 Å³/cell
Magnetization   0.00 μB/atom

=====

(6)
The following is a PBE calculation of an optimized crystal structure of Tb3Nd2HoTm6, from Alexandria via LeMat-Bulk.

Cell and atoms, written as POSCAR:
```
Tb3Nd2HoTm6
1.0
3.070 -5.313 0.000
3.070 5.313 0.000
-2.039 0.000 11.501
Tb Nd Ho Tm
3 2 1 6
Cartesian
0.000 0.000 0.000
3.070 1.771 0.000
3.070 -1.771 0.000
2.050 3.544 5.750
2.050 -3.544 5.750
2.050 0.000 5.750
1.024 1.768 2.855
0.012 0.000 8.649
1.024 -1.768 2.855
3.076 1.768 8.646
4.089 0.000 2.851
3.076 -1.768 8.646
```

Values from the calculation:
Formation enthalpy at 0 K   0.0203 eV/atom
Space group   No. 12
N(E_F)   14.952 states/eV per cell
V   375.2 Å³/cell
Magnetization   0.00 μB/atom

=====

(7)
The following is a PBE calculation of an optimized crystal structure of VSi23, from Alexandria via LeMat-Bulk.

Cell and atoms, written as POSCAR:
```
VSi23
1.0
10.202 0.000 0.000
0.000 10.202 0.000
0.000 0.000 10.202
V Si
2 46
Cartesian
0.000 0.000 0.000
5.101 5.101 5.101
0.000 1.189 3.142
0.000 1.189 7.059
0.000 2.550 5.101
0.000 7.651 5.101
0.000 9.013 3.142
0.000 9.013 7.059
1.189 3.142 0.000
1.189 7.059 0.000
1.858 1.858 1.858
1.858 1.858 8.344
1.858 8.344 1.858
1.858 8.344 8.344
1.958 3.912 5.101
1.958 6.289 5.101
2.550 5.101 0.000
3.142 0.000 1.189
3.142 0.000 9.013
3.243 3.243 3.243
3.243 3.243 6.959
3.243 6.959 3.243
3.243 6.959 6.959
3.912 5.101 1.958
3.912 5.101 8.243
5.101 0.000 2.550
5.101 0.000 7.651
5.101 1.958 3.912
5.101 1.958 6.289
5.101 8.243 3.912
5.101 8.243 6.289
6.289 5.101 1.958
6.289 5.101 8.243
6.959 3.243 3.243
6.959 3.243 6.959
6.959 6.959 3.243
6.959 6.959 6.959
7.059 0.000 1.189
7.059 0.000 9.013
7.651 5.101 0.000
8.243 3.912 5.101
8.243 6.289 5.101
8.344 1.858 1.858
8.344 1.858 8.344
8.344 8.344 1.858
8.344 8.344 8.344
9.013 3.142 0.000
9.013 7.059 0.000
```

Values from the calculation:
Space group   No. 223
N(E_F)   9.721 states/eV per cell
Uncorrected formation energy   3.90 eV/f.u.
V   1061.8 Å³/cell
Magnetization   0.20 μB/atom

=====

(8)
The following is a PBE calculation of an optimized crystal structure of LaCdAs2Pt2, from Alexandria via LeMat-Bulk.

Cell and atoms, written as POSCAR:
```
LaCdAs2Pt2
1.0
4.292 0.000 0.000
-2.146 3.717 0.000
0.000 0.000 7.867
La Cd As Pt
1 1 2 2
Cartesian
0.000 0.000 0.000
0.000 0.000 3.933
0.000 2.478 5.975
2.146 1.239 1.892
0.000 2.478 2.280
2.146 1.239 5.587
```

Values from the calculation:
Formation enthalpy at 0 K   -0.7596 eV/atom
Space group   No. 164
N(E_F)   1.445 states/eV per cell
V   125.5 Å³/cell
Magnetization   0.00 μB/atom

=====

(9)
The following is a PBE calculation of an optimized crystal structure of PmAgPt, from Alexandria via LeMat-Bulk.

Cell and atoms, written as POSCAR:
```
PmAgPt
1.0
3.770 0.000 0.000
0.000 3.770 0.000
0.000 0.000 9.205
Pm Ag Pt
2 2 2
Cartesian
0.000 0.000 0.000
1.885 1.885 4.603
0.000 0.000 6.261
1.885 1.885 1.658
0.000 0.000 3.213
1.885 1.885 7.816
```

Values from the calculation:
Formation enthalpy at 0 K   -0.6456 eV/atom
Space group   No. 107
N(E_F)   2.283 states/eV per cell
Relative energy among the computed polymorphs   127.9 meV/atom
V   130.8 Å³/cell
Magnetization   0.00 μB/atom

=====

(10)
The following is a PBE calculation of an optimized crystal structure of Dy6ScTl, from Alexandria via LeMat-Bulk.

Cell and atoms, written as POSCAR:
```
Dy6ScTl
1.0
4.859 0.000 0.000
0.000 4.859 0.000
0.000 0.000 9.907
Dy Sc Tl
6 1 1
Cartesian
0.000 0.000 0.000
0.000 0.000 4.954
0.000 2.430 2.474
0.000 2.430 7.433
2.430 0.000 2.474
2.430 0.000 7.433
2.430 2.430 0.000
2.430 2.430 4.954
```

Values from the calculation:
Formation enthalpy at 0 K   -0.0739 eV/atom
Space group   No. 123
N(E_F)   9.808 states/eV per cell
Relative energy among the computed polymorphs   0.0 meV/atom
V   233.9 Å³/cell
Magnetization   0.00 μB/atom

=====

(11)
The following is a PBE calculation of an optimized crystal structure of K2MgCd7, from Alexandria via LeMat-Bulk.

Cell and atoms, written as POSCAR:
```
K2MgCd7
1.0
4.692 0.000 0.000
0.000 4.692 0.000
0.000 0.000 13.327
K Mg Cd
2 1 7
Cartesian
0.000 2.346 3.298
2.346 0.000 10.028
0.000 0.000 6.663
0.000 0.000 0.000
0.000 2.346 8.542
0.000 2.346 11.447
2.346 0.000 1.879
2.346 0.000 4.785
2.346 2.346 0.000
2.346 2.346 6.663
```

Values from the calculation:
Formation enthalpy at 0 K   -0.0610 eV/atom
Space group   No. 115
N(E_F)   5.849 states/eV per cell
V   293.4 Å³/cell
Magnetization   0.00 μB/atom

=====

(12)
The following is a PBE calculation of an optimized crystal structure of Al2FeI, from Alexandria via LeMat-Bulk.

Cell and atoms, written as POSCAR:
```
Al2FeI
1.0
6.572 0.000 0.000
0.000 6.572 0.000
0.000 0.000 6.572
Al Fe I
8 4 4
Cartesian
1.643 1.643 1.643
1.643 1.643 4.929
1.643 4.929 1.643
1.643 4.929 4.929
4.929 1.643 1.643
4.929 1.643 4.929
4.929 4.929 1.643
4.929 4.929 4.929
0.000 0.000 0.000
0.000 3.286 3.286
3.286 0.000 3.286
3.286 3.286 0.000
0.000 0.000 3.286
0.000 3.286 0.000
3.286 0.000 0.000
3.286 3.286 3.286
```

Values from the calculation:
Space group   No. 225
N(E_F)   36.381 states/eV per cell
Uncorrected formation energy   4.04 eV/f.u.
Relative energy among the computed polymorphs   425.6 meV/atom
V   283.8 Å³/cell
Magnetization   0.00 μB/atom

=====

(13)
The following is a PBE calculation of an optimized crystal structure of Pm2ThN, from Alexandria via LeMat-Bulk.

Cell and atoms, written as POSCAR:
```
Pm2ThN
1.0
3.264 0.000 0.000
0.000 3.264 0.000
0.000 0.000 8.687
Pm Th N
2 1 1
Cartesian
0.000 0.000 1.465
0.000 0.000 7.221
1.632 1.632 4.343
1.632 1.632 0.000
```

Values from the calculation:
Space group   No. 123
N(E_F)   4.362 states/eV per cell
Uncorrected formation energy   -0.52 eV/f.u.
Relative energy among the computed polymorphs   419.8 meV/atom
V   92.6 Å³/cell
Magnetization   0.00 μB/atom

=====

(14)
The following is a PBE calculation of an optimized crystal structure of MnCrSb2, from Alexandria via LeMat-Bulk.

Cell and atoms, written as POSCAR:
```
MnCrSb2
1.0
7.449 0.000 0.000
0.000 7.449 0.000
0.000 0.000 6.505
Mn Cr Sb
4 4 8
Cartesian
0.000 0.000 0.000
0.000 3.725 1.626
3.725 0.000 4.879
3.725 3.725 3.252
0.000 0.000 3.252
0.000 3.725 4.879
3.725 0.000 1.626
3.725 3.725 0.000
1.838 1.862 0.813
1.862 5.563 2.439
1.862 5.611 5.692
1.887 1.862 4.066
5.563 5.587 4.066
5.587 1.838 5.692
5.587 1.887 2.439
5.611 5.587 0.813
```

Values from the calculation:
Space group   No. 122
N(E_F)   10.437 states/eV per cell
Uncorrected formation energy   1.65 eV/f.u.
Relative energy among the computed polymorphs   380.7 meV/atom
V   361.0 Å³/cell
Magnetization   1.92 μB/atom

=====

(15)
The following is a PBE calculation of an optimized crystal structure of Cs2SrTcBr6, from Alexandria via LeMat-Bulk.

Cell and atoms, written as POSCAR:
```
Cs2SrTcBr6
1.0
0.000 5.607 5.607
5.607 0.000 5.607
5.607 5.607 0.000
Cs Sr Tc Br
2 1 1 6
Cartesian
2.803 2.803 2.803
8.410 8.410 8.410
0.000 0.000 0.000
5.607 5.607 5.607
5.607 5.607 3.006
5.607 3.006 5.607
8.208 5.607 5.607
3.006 5.607 5.607
5.607 8.208 5.607
5.607 5.607 8.208
```

Values from the calculation:
Space group   No. 225
N(E_F)   7.954 states/eV per cell
Uncorrected formation energy   -12.79 eV/f.u.
V   352.5 Å³/cell
Magnetization   0.10 μB/atom

=====

(16)
The following is a PBE calculation of an optimized crystal structure of HfCoC2N, from Alexandria via LeMat-Bulk.

Cell and atoms, written as POSCAR:
```
HfCoC2N
1.0
3.644 0.000 0.000
0.000 3.644 0.000
0.000 0.000 4.067
Hf Co C N
1 1 2 1
Cartesian
0.000 0.000 0.000
1.822 1.822 0.000
0.000 1.822 2.033
1.822 0.000 2.033
0.000 0.000 2.033
```

Values from the calculation:
Space group   No. 123
N(E_F)   3.099 states/eV per cell
Uncorrected formation energy   9.02 eV/f.u.
V   54.0 Å³/cell
Magnetization   0.06 μB/atom

=====

(17)
The following is a PBE calculation of an optimized crystal structure of Ti2VB, from Alexandria via LeMat-Bulk.

Cell and atoms, written as POSCAR:
```
Ti2VB
1.0
3.896 0.000 0.000
0.000 3.896 0.000
0.000 0.000 3.373
Ti V B
2 1 1
Cartesian
0.000 1.948 0.000
1.948 0.000 0.000
0.000 0.000 1.687
1.948 1.948 1.687
```

Values from the calculation:
Formation enthalpy at 0 K   -0.0036 eV/atom
Space group   No. 123
N(E_F)   4.985 states/eV per cell
V   51.2 Å³/cell
Magnetization   0.26 μB/atom